Run one
Entry from the Open Quantum Materials Database: a relaxed DyMgB4 crystal (GGA-PBE).

```
6
Lattice="0.873 -3.181 -3.680 3.959 -2.367 1.773 -4.817 0.725 0.832" Properties=species:S:1:pos:R:3 pbc="T T T"
B 1.475 -1.811 1.306
B -0.109 -2.171 -1.405
B 0.124 -2.652 0.330
B -1.460 -3.012 -2.380
Dy 2.416 -2.774 -0.953
Mg 0.000 0.000 0.000
```

space group: No. 71
magnetization: 0.0 μB/cell

***

Run two
Entry from the Open Quantum Materials Database: a relaxed DyMgB4 crystal (GGA-PBE).

```
6
Lattice="3.186 0.000 0.000 -1.593 2.759 0.000 0.000 0.000 7.349" Properties=species:S:1:pos:R:3 pbc="T T T"
B 0.000 1.839 1.936
B 0.000 1.839 5.413
B 1.593 0.920 5.413
B 1.593 0.920 1.936
Dy 0.000 0.000 0.000
Mg 0.000 0.000 3.675
```

space group: No. 191
magnetization: 0.0 μB/cell

***

It is run two that is the least stable of them.

***

Run one
Entry from the Open Quantum Materials Database: a relaxed DyBNO crystal (GGA-PBE).

```
8
Lattice="3.596 0.000 0.000 0.000 3.596 0.000 0.000 0.000 6.973" Properties=species:S:1:pos:R:3 pbc="T T T"
O 1.798 1.798 0.000
O 0.000 0.000 0.000
Dy 1.798 0.000 5.762
Dy 0.000 1.798 1.212
B 0.000 0.000 3.487
B 1.798 1.798 3.487
N 0.000 1.798 3.619
N 1.798 0.000 3.354
```

space group: No. 129
magnetization: 0.0 μB/cell

***

Run two
Entry from the Open Quantum Materials Database: a relaxed DyBNO crystal (GGA-PBE).

```
16
Lattice="5.111 0.000 0.000 0.000 7.233 0.000 0.000 0.000 5.062" Properties=species:S:1:pos:R:3 pbc="T T T"
O 2.888 3.287 2.789
O 0.333 3.946 2.789
O 2.223 3.946 0.258
O 4.778 3.287 0.258
B 5.002 4.541 0.254
B 2.664 4.541 2.784
B 0.109 2.692 2.784
B 2.447 2.692 0.254
Dy 0.028 6.134 2.787
Dy 2.528 6.134 0.256
Dy 5.083 1.099 0.256
Dy 2.583 1.099 2.787
N 0.036 1.329 2.787
N 5.074 5.905 0.256
N 2.592 5.905 2.787
N 2.519 1.329 0.256
```

space group: No. 57
magnetization: 0.0 μB/cell

***

It is run one that is the least stable of them.

***

Run one
Entry from the Open Quantum Materials Database: a relaxed DyBNO crystal (GGA-PBE).

```
8
Lattice="-1.394 -2.414 0.000 0.000 0.000 5.592 -4.688 2.707 0.000" Properties=species:S:1:pos:R:3 pbc="T T T"
N -3.001 1.733 3.117
N -1.687 0.974 0.321
Dy -3.646 2.105 5.325
Dy -1.042 0.602 2.529
O -4.897 1.218 1.569
O -1.185 -0.925 4.365
B -2.070 -0.415 5.390
B -4.012 0.707 2.594
```

space group: No. 26
magnetization: 0.0 μB/cell

***

Run two
Entry from the Open Quantum Materials Database: a relaxed DyBNO crystal (GGA-PBE).

```
8
Lattice="-1.735 -3.004 0.000 0.000 0.000 4.819 -4.480 2.586 0.000" Properties=species:S:1:pos:R:3 pbc="T T T"
O -4.492 0.590 4.762
O -1.722 -1.009 2.352
N -2.403 1.388 1.275
N -2.076 1.199 3.685
B -2.934 1.694 4.768
B -1.545 0.892 2.358
Dy -4.287 0.472 2.468
Dy -1.927 -0.890 0.058
```

space group: No. 26
magnetization: 0.0 μB/cell

***

Run three
Entry from the Open Quantum Materials Database: a relaxed DyBNO crystal (GGA-PBE).

```
8
Lattice="3.441 -3.477 0.000 3.441 3.477 0.000 -1.712 0.000 4.022" Properties=species:S:1:pos:R:3 pbc="T T T"
Dy 2.331 1.669 1.768
Dy 2.331 -1.669 1.768
B 4.138 0.000 0.606
B 0.451 0.000 3.609
O 2.508 -1.283 4.020
O 2.508 1.283 4.020
N 4.244 0.000 2.040
N 0.462 0.000 2.279
```

space group: No. 8
magnetization: 0.0 μB/cell

***

Run four
Entry from the Open Quantum Materials Database: a relaxed DyBNO crystal (GGA-PBE).

```
8
Lattice="4.730 0.000 0.000 0.000 4.730 0.000 0.000 0.000 4.433" Properties=species:S:1:pos:R:3 pbc="T T T"
B 1.182 1.182 4.056
B 3.547 3.547 0.378
N 3.547 3.547 1.745
N 1.182 1.182 2.688
Dy 3.547 1.182 2.217
Dy 1.182 3.547 2.217
O 1.182 3.547 0.000
O 3.547 1.182 0.000
```

space group: No. 129
magnetization: 1.3 μB/cell

***

It is run four that is the least stable of them.

***

Run one
Entry from the Open Quantum Materials Database: a relaxed NdDyB4 crystal (GGA-PBE).

```
6
Lattice="2.482 -1.002 4.457 -2.995 2.584 3.373 0.018 -4.038 -3.275" Properties=species:S:1:pos:R:3 pbc="T T T"
B -1.200 -1.173 2.189
B 0.704 -1.282 2.366
B -2.033 0.505 1.795
B 1.536 -2.961 2.760
Nd -0.257 0.791 3.915
Dy 0.000 0.000 0.000
```

space group: No. 71
magnetization: 0.0 μB/cell

***

Run two
Entry from the Open Quantum Materials Database: a relaxed NdDyB4 crystal (GGA-PBE).

```
6
Lattice="-0.128 -3.310 -0.044 0.679 1.668 -2.780 7.813 -0.325 1.713" Properties=species:S:1:pos:R:3 pbc="T T T"
B 2.453 -0.076 -1.420
B 5.911 -1.890 0.309
B 6.179 -0.231 -0.603
B 2.185 -1.735 -0.508
Dy 3.907 -0.162 0.856
Nd 0.000 0.000 0.000
```

space group: No. 191
magnetization: 0.0 μB/cell

***

It is run one that is the least stable of them.

***

Run one
Entry from the Open Quantum Materials Database: a relaxed DyNiB4 crystal (GGA-PBE).

```
6
Lattice="3.180 0.000 0.000 -1.590 2.754 0.000 0.000 0.000 6.479" Properties=species:S:1:pos:R:3 pbc="T T T"
B 1.590 0.918 1.903
B 1.590 0.918 4.575
B 0.000 1.836 4.575
B 0.000 1.836 1.903
Dy 0.000 0.000 0.000
Ni 0.000 0.000 3.239
```

space group: No. 191
magnetization: 0.0 μB/cell

***

Run two
Entry from the Open Quantum Materials Database: a relaxed DyNiB4 crystal (GGA-PBE).

```
6
Lattice="-1.570 2.638 3.706 1.570 -2.638 3.706 1.570 2.638 -3.706" Properties=species:S:1:pos:R:3 pbc="T T T"
B 1.570 -0.909 1.821
B 0.000 3.548 1.885
B 1.570 0.909 1.821
B 0.000 1.729 1.885
Dy 0.000 0.000 0.000
Ni 0.000 0.000 3.706
```

space group: No. 71
magnetization: 0.0 μB/cell

***

It is run two that is the least stable of them.

***

Run one
Entry from the Open Quantum Materials Database: a relaxed DyNiB crystal (GGA-PBE).

```
3
Lattice="0.000 2.900 2.900 2.900 0.000 2.900 2.900 2.900 0.000" Properties=species:S:1:pos:R:3 pbc="T T T"
Dy 4.351 4.351 4.351
Ni 0.000 0.000 0.000
B 1.450 1.450 1.450
```

space group: No. 216
magnetization: 0.5 μB/cell

***

Run two
Entry from the Open Quantum Materials Database: a relaxed DyNiB crystal (GGA-PBE).

```
3
Lattice="2.255 -3.195 -1.061 -1.742 -3.618 -0.544 -0.318 -1.555 -3.728" Properties=species:S:1:pos:R:3 pbc="T T T"
Ni 0.147 -6.276 -4.000
B 0.000 0.000 0.000
Dy 0.049 -2.092 -1.333
```

space group: No. 216
magnetization: 0.2 μB/cell

***

It is run one that is the least stable of them.